Entry 1:
This record from Alexandria via LeMat-Bulk describes LiInSe2 after structural relaxation. The functional is PBE.

Cell lengths 3.6574, 3.7059, 13.2942 Å; angles 90.00, 90.00, 90.00 degrees
Closest atoms and distances in Å follow each position.
Space group Imm2 (No. 44)
Asymmetric unit:
1 Li 0.0000 0.0000 0.0000  6 Se 2.82-2.90
2 In 0.0000 0.5000 0.2381  6 Se 2.78-2.89
3 Se 0.0000 0.0000 0.5808  2 In 2.78, 4 Li 2.82
4 Se 0.0000 0.5000 0.8324  4 In 2.89, 2 Li 2.90

Calculated values
- raw formation energy (kcal/mol of atoms) = -13.665
- E (eV/atom) = -3.498

***

Entry 2:
This record from Alexandria via LeMat-Bulk describes LiIn2Se after structural relaxation. The functional is PBE.

Cell lengths 4.2569, 4.2569, 5.3097 Å; angles 90.00, 90.00, 90.00 degrees
Closest atoms and distances in Å follow each position.
Space group P4/mmm (No. 123)
Asymmetric unit:
1 Li 0.0000 0.0000 0.0000  4 Se 3.01
2 In 0.0000 0.5000 0.5000  4 In 3.01
3 Se 0.5000 0.5000 0.0000  4 Li 3.01

Calculated values
- raw formation energy (kcal/mol of atoms) = -7.923
- E (eV/atom) = -3.062

***

Entry 3:
This record from Alexandria via LeMat-Bulk describes LiIn2Se after structural relaxation. The functional is PBE.

Cell lengths 7.3118, 7.3118, 7.3118 Å; angles 90.00, 90.00, 90.00 degrees
Closest atoms and distances in Å follow each position.
Space group F-43m (No. 216)
Asymmetric unit:
1 Li 0.0000 0.0000 0.0000  4 Se 3.17, 4 In 3.17
2 In 0.0000 0.0000 0.5000  4 In 3.17, 4 Se 3.17
3 In 0.2500 0.2500 0.7500  4 In 3.17, 4 Li 3.17
4 Se 0.2500 0.2500 0.2500  4 In 3.17, 4 Li 3.17

Calculated values
- raw formation energy (kcal/mol of atoms) = -3.989
- E (eV/atom) = -2.892

***

Entry 4:
This record from Alexandria via LeMat-Bulk describes LiIn2Se after structural relaxation. The functional is PBE.

Cell lengths 3.8864, 4.5637, 11.0185 Å; angles 90.00, 90.00, 90.00 degrees
Closest atoms and distances in Å follow each position.
Space group Imm2 (No. 44)
Asymmetric unit:
1 Li 0.0000 0.0000 0.0000  2 Se 2.53
2 In 0.0000 0.0000 0.4511  4 Li 3.05, 2 Se 3.14, 2 In 3.33
3 In 0.0000 0.5000 0.2306  4 Se 3.14, 2 In 3.33, 2 Li 3.42
4 Se 0.0000 0.5000 0.6464  2 Li 2.53

Calculated values
- raw formation energy (kcal/mol of atoms) = -7.993
- E (eV/atom) = -3.065

***

Entry 5:
This record from Alexandria via LeMat-Bulk describes LiInSe4 after structural relaxation. The functional is PBE.

Cell lengths 8.3353, 8.3353, 8.3353 Å; angles 90.00, 90.00, 90.00 degrees
Closest atoms and distances in Å follow each position.
Space group F-43m (No. 216)
Asymmetric unit:
1 Li 0.0000 0.0000 0.0000  12 Se 3.46, 4 In 3.61
2 In 0.2500 0.2500 0.2500  12 Se 3.46, 4 Li 3.61
3 Se 0.1251 0.1251 0.6251  6 Se 2.94-2.95

Calculated values
- raw formation energy (kcal/mol of atoms) = 0.619
- E (eV/atom) = -3.072

***

Entry 6:
This record from Alexandria via LeMat-Bulk describes LiInSe2 after structural relaxation. The functional is PBE.

Cell lengths 4.3612, 4.3843, 9.0540 Å; angles 90.00, 90.00, 90.00 degrees
Closest atoms and distances in Å follow each position.
Space group Cmmm (No. 65)
Asymmetric unit:
1 Li 0.0000 0.0000 0.0000  8 Se 2.86-2.87, 4 Li 3.09
2 In 0.0000 0.0000 0.5000  4 In 3.09, 8 Se 3.45-3.46
3 Se 0.0000 0.5000 0.2047  4 Li 2.86-2.87, 4 Se 3.09

Calculated values
- raw formation energy (kcal/mol of atoms) = -7.788
- E (eV/atom) = -3.243

***

Entry 7:
This record from Alexandria via LeMat-Bulk describes Li2InSe after structural relaxation. The functional is PBE.

Cell lengths 3.4214, 3.5972, 6.2759 Å; angles 90.00, 90.00, 90.00 degrees
Closest atoms and distances in Å follow each position.
Space group Pmmm (No. 47)
Asymmetric unit:
1 Li 0.0000 0.0000 0.1980  1 Li 2.49, 4 Se 2.78
2 In 0.5000 0.5000 0.5000  8 Li 3.12, 2 Se 3.14, 2 In 3.42
3 Se 0.5000 0.5000 0.0000  8 Li 2.78

Calculated values
- raw formation energy (kcal/mol of atoms) = -14.320
- E (eV/atom) = -3.134

***

Entry 8:
This record from Alexandria via LeMat-Bulk describes LiInSe2 after structural relaxation. The functional is PBE.

Cell lengths 3.2758, 3.2758, 28.1250 Å; angles 90.00, 90.00, 120.00 degrees
Closest atoms and distances in Å follow each position.
Space group R-3m (No. 166, hexagonal axes)
Asymmetric unit:
1 Li 0.0000 0.0000 0.0000  6 Se 2.70
2 In 0.0000 0.0000 0.5000  6 In 3.28, 6 Se 3.35
3 Se 0.0000 0.0000 0.2650  3 Li 2.70

Calculated values
- raw formation energy (kcal/mol of atoms) = -5.526
- E (eV/atom) = -3.145

***

Entry 9:
This record from Alexandria via LeMat-Bulk describes LiIn2Se after structural relaxation. The functional is PBE.

Cell lengths 4.5104, 4.5104, 9.3129 Å; angles 90.00, 90.00, 90.00 degrees
Closest atoms and distances in Å follow each position.
Space group I-4m2 (No. 119)
Asymmetric unit:
1 Li 0.0000 0.0000 0.0000  8 In 3.19-3.24, 4 Se 3.24
2 In 0.0000 0.0000 0.5000  4 Li 3.19, 4 In 3.24, 4 Se 3.24
3 In 0.0000 0.5000 0.2500  4 Se 3.19, 4 Li 3.24, 4 In 3.24
4 Se 0.0000 0.5000 0.7500  8 In 3.19-3.24, 4 Li 3.24

Calculated values
- raw formation energy (kcal/mol of atoms) = -6.670
- E (eV/atom) = -3.008

***

Entry 10:
This record from Alexandria via LeMat-Bulk describes Li2InSe after structural relaxation. The functional is PBE.

Cell lengths 3.9706, 3.9706, 10.0519 Å; angles 90.00, 90.00, 90.00 degrees
Closest atoms and distances in Å follow each position.
Space group I-4m2 (No. 119)
Asymmetric unit:
1 Li 0.0000 0.0000 0.0000  4 In 2.81
2 Li 0.0000 0.5000 0.2500  4 Se 2.81
3 In 0.0000 0.0000 0.5000  4 Li 2.81
4 Se 0.0000 0.5000 0.7500  4 Li 2.81

Calculated values
- raw formation energy (kcal/mol of atoms) = -11.891
- E (eV/atom) = -3.028

***

Entry 11:
This record from Alexandria via LeMat-Bulk describes LiInSe2 after structural relaxation. The functional is PBE.

Cell lengths 6.1665, 7.4865, 3.7254 Å; angles 90.00, 90.00, 90.00 degrees
Closest atoms and distances in Å follow each position.
Space group Cmmm (No. 65)
Asymmetric unit:
1 Li 0.0000 0.0000 0.0000  8 Se 3.06, 2 In 3.08
2 In 0.0000 0.5000 0.0000  8 Se 3.06, 2 Li 3.08
3 Se 0.2500 0.2500 0.5000  4 In 3.06, 4 Li 3.06, 2 Se 3.08

Calculated values
- raw formation energy (kcal/mol of atoms) = -9.875
- E (eV/atom) = -3.334

***

Entry 12:
This record from Alexandria via LeMat-Bulk describes LiIn3Se after structural relaxation. The functional is PBE.

Cell lengths 5.0602, 5.0602, 5.0602 Å; angles 90.00, 90.00, 90.00 degrees
Closest atoms and distances in Å follow each position.
Space group Pm-3m (No. 221)
Asymmetric unit:
1 Li 0.0000 0.0000 0.0000  6 In 2.53
2 In 0.0000 0.0000 0.5000  2 Li 2.53
3 Se 0.5000 0.5000 0.5000  12 In 3.58

Calculated values
- raw formation energy (kcal/mol of atoms) = 1.312
- E (eV/atom) = -2.666

***

Entry 13:
This record from Alexandria via LeMat-Bulk describes LiIn2Se after structural relaxation. The functional is PBE.

Cell lengths 8.3096, 8.3096, 5.8981 Å; angles 90.00, 90.00, 90.00 degrees
Closest atoms and distances in Å follow each position.
Space group I-42d (No. 122)
Asymmetric unit:
1 Li 0.0000 0.0000 0.0000  2 Se 2.95, 4 In 3.16
2 In 0.2281 0.2500 0.6250  2 Se 2.91, 2 In 2.97, 2 Li 3.16
3 Se 0.0000 0.0000 0.5000  4 In 2.91, 2 Li 2.95

Calculated values
- raw formation energy (kcal/mol of atoms) = -8.006
- E (eV/atom) = -3.066

***

Entry 14:
This record from Alexandria via LeMat-Bulk describes Li2InSe after structural relaxation. The functional is PBE.

Cell lengths 4.7042, 4.7042, 16.6983 Å; angles 90.00, 90.00, 90.00 degrees
Closest atoms and distances in Å follow each position.
Space group I-42d (No. 122)
Asymmetric unit:
1 Li 0.1744 0.2500 0.1250  2 Se 2.53
2 In 0.0000 0.0000 0.5000  4 Li 2.84
3 Se 0.0000 0.0000 0.0000  4 Li 2.53

Calculated values
- raw formation energy (kcal/mol of atoms) = -11.086
- E (eV/atom) = -2.993

***

Entry 15:
This record from Alexandria via LeMat-Bulk describes LiInSe2 after structural relaxation. The functional is PBE.

Cell lengths 7.0701, 7.0701, 7.0701 Å; angles 90.00, 90.00, 90.00 degrees
Closest atoms and distances in Å follow each position.
Space group F-43m (No. 216)
Asymmetric unit:
1 Li 0.0000 0.0000 0.0000  4 In 3.06, 4 Se 3.06
2 In 0.2500 0.2500 0.7500  4 Se 3.06, 4 Li 3.06
3 Se 0.0000 0.0000 0.5000  4 Se 3.06, 4 In 3.06
4 Se 0.2500 0.2500 0.2500  4 Li 3.06, 4 Se 3.06

Calculated values
- raw formation energy (kcal/mol of atoms) = -2.496
- E (eV/atom) = -3.014

***

Entry 16:
This record from Alexandria via LeMat-Bulk describes Li3In5Se12 after structural relaxation. The functional is PBE.

Cell lengths 16.2327, 16.2327, 16.2327 Å; angles 90.00, 90.00, 90.00 degrees
Closest atoms and distances in Å follow each position.
Space group Ia-3d (No. 230)
Asymmetric unit:
1 Li 0.0000 0.2500 0.1250  4 Se 2.75
2 In 0.0000 0.0000 0.0000  6 Se 2.78
3 In 0.0000 0.2500 0.3750  4 Se 2.64
4 Se 0.0373 0.0858 0.6434  2 In 2.64-2.78, 1 Li 2.75

Calculated values
- raw formation energy (kcal/mol of atoms) = -8.393
- E (eV/atom) = -3.426

***

Entry 17:
This record from Alexandria via LeMat-Bulk describes LiInSe2 after structural relaxation. The functional is PBE.

Cell lengths 3.7700, 3.7700, 6.1945 Å; angles 90.00, 90.00, 90.00 degrees
Closest atoms and distances in Å follow each position.
Space group P4/mmm (No. 123)
Asymmetric unit:
1 Li 0.0000 0.0000 0.0000  8 Se 2.97, 2 In 3.10
2 In 0.0000 0.0000 0.5000  2 Li 3.10, 8 Se 3.21
3 Se 0.5000 0.5000 0.2114  1 Se 2.62

Calculated values
- raw formation energy (kcal/mol of atoms) = -10.200
- E (eV/atom) = -3.348

***

Entry 18:
This record from Alexandria via LeMat-Bulk describes Li2In2SiSe6 after structural relaxation. The functional is PBE.

Cell lengths 12.8755, 7.5004, 12.8124 Å; angles 90.00, 109.81, 90.00 degrees
Closest atoms and distances in Å follow each position.
Space group Cc (No. 9)
Asymmetric unit:
1 Li 0.0000 0.1040 0.0000  4 Se 2.64-2.69
2 Li 0.2080 0.3036 0.6614  4 Se 2.67-2.77
3 In 0.0183 0.4041 0.3096  4 Se 2.64-2.67
4 In 0.3433 0.0677 0.0065  4 Se 2.64-2.66
5 Si 0.2729 0.2290 0.2497  4 Se 2.27-2.29
6 Se 0.0156 0.2531 0.4943  2 In 2.64, 2 Li 2.69-2.70
7 Se 0.1981 0.2605 0.0619  1 Si 2.28
8 Se 0.2042 0.0231 0.8004  1 Si 2.27
9 Se 0.2260 0.4757 0.3296  1 Si 2.29
10 Se 0.3934 0.2339 0.6190  2 In 2.64, 2 Li 2.67
11 Se 0.4608 0.2470 0.3033  1 Si 2.28

Calculated values
- raw formation energy (kcal/mol of atoms) = -17.438
- E (eV/atom) = -3.996

***

Entry 19:
This record from Alexandria via LeMat-Bulk describes LiInSiSe4 after structural relaxation. The functional is PBE.

Cell lengths 7.6264, 11.9187, 7.7969 Å; angles 90.00, 90.00, 90.00 degrees
Closest atoms and distances in Å follow each position.
Space group Cmcm (No. 63)
Asymmetric unit:
1 Li 0.0000 0.0000 0.0000  6 Se 2.79-2.80
2 In 0.0000 0.3594 0.2500  4 Se 2.62-2.65
3 Si 0.0000 0.3582 0.7500  4 Se 2.29-2.33
4 Se 0.0000 0.2338 0.5262  1 Si 2.29
5 Se 0.2387 0.4796 0.7500  1 Si 2.33

Calculated values
- raw formation energy (kcal/mol of atoms) = -14.323
- E (eV/atom) = -4.052

***

Entry 20:
This record from Alexandria via LeMat-Bulk describes SrLiIn2Se4 after structural relaxation. The functional is PBE.

Cell lengths 6.4348, 6.4348, 12.5067 Å; angles 90.00, 90.00, 90.00 degrees
Closest atoms and distances in Å follow each position.
Space group I-42m (No. 121)
Asymmetric unit:
1 Sr 0.0000 0.0000 0.0000  4 Se 3.01
2 Li 0.0000 0.0000 0.5000  4 Se 2.62
3 In 0.0000 0.5000 0.2500  4 Se 2.72
4 Se 0.2236 0.2236 0.6321  1 Li 2.62, 2 In 2.72

Calculated values
- raw formation energy (kcal/mol of atoms) = -21.481
- E (eV/atom) = -3.808